1.
Compound: PRu2BrCl
Source: the Alexandria database
Functional: GGA-PBE
Structure: optimized geometry

Cell: 4.311 4.311 6.022 Å, 90.00 90.00 90.00°
Fractional coordinates of all 5 atoms:
P (0.000, 0.000, 0.000)
Ru (0.000, 0.500, 0.500)
Ru (0.500, 0.000, 0.500)
Br (0.500, 0.500, 0.000)
Cl (0.500, 0.500, 0.500)

Values from the calculation:
Symmetry: No. 123
Energy relative to the elements, uncorrected: 1.535 eV/atom

---

2.
Compound: Y3Er2ScS6
Source: the Alexandria database
Functional: GGA-PBE
Structure: optimized geometry

Cell: 8.637 8.637 7.761 Å, 103.22 103.22 25.80°
Fractional coordinates of all 12 atoms:
Y (0.000, 0.000, 0.000)
Y (0.332, 0.332, 0.665)
Y (0.668, 0.668, 0.335)
Er (0.334, 0.334, 0.168)
Er (0.666, 0.666, 0.832)
Sc (0.000, 0.000, 0.500)
S (0.162, 0.162, 0.584)
S (0.168, 0.168, 0.080)
S (0.500, 0.500, 0.261)
S (0.500, 0.500, 0.739)
S (0.832, 0.832, 0.920)
S (0.838, 0.838, 0.416)

Values from the calculation:
Symmetry: No. 12
Energy relative to the elements, uncorrected: -1.955 eV/atom

---

3.
Compound: BeAlFeRe
Source: the Alexandria database
Functional: GGA-PBE
Structure: optimized geometry

Cell: 5.768 5.768 5.768 Å, 90.00 90.00 90.00°
Fractional coordinates of all 16 atoms:
Be (0.000, 0.000, 0.000)
Be (0.000, 0.500, 0.500)
Be (0.500, 0.000, 0.500)
Be (0.500, 0.500, 0.000)
Al (0.250, 0.250, 0.250)
Al (0.250, 0.750, 0.750)
Al (0.750, 0.250, 0.750)
Al (0.750, 0.750, 0.250)
Fe (0.000, 0.000, 0.500)
Fe (0.000, 0.500, 0.000)
Fe (0.500, 0.000, 0.000)
Fe (0.500, 0.500, 0.500)
Re (0.250, 0.250, 0.750)
Re (0.250, 0.750, 0.250)
Re (0.750, 0.250, 0.250)
Re (0.750, 0.750, 0.750)

Values from the calculation:
Formation enthalpy at 0 K: -0.067 eV/atom
Symmetry: No. 216

---

4.
Compound: LiPm2Dy3Se6
Source: the Alexandria database
Functional: GGA-PBE
Structure: optimized geometry

Cell: 7.112 7.112 7.104 Å, 99.66 99.66 120.14°
Fractional coordinates of all 12 atoms:
Li (0.000, 0.000, 0.000)
Pm (0.334, 0.666, 0.000)
Pm (0.666, 0.334, 0.000)
Dy (0.168, 0.832, 0.500)
Dy (0.500, 0.500, 0.500)
Dy (0.832, 0.168, 0.500)
Se (0.084, 0.404, 0.253)
Se (0.235, 0.235, 0.749)
Se (0.404, 0.084, 0.253)
Se (0.596, 0.916, 0.747)
Se (0.765, 0.765, 0.251)
Se (0.916, 0.596, 0.747)

Values from the calculation:
Symmetry: No. 12
Energy relative to the elements, uncorrected: -1.769 eV/atom

---

5.
Compound: Rb2VMoCl6
Source: the Alexandria database
Functional: GGA-PBE
Structure: optimized geometry

Cell: 6.852 6.852 6.852 Å, 116.12 116.12 96.86°
Fractional coordinates of all 10 atoms:
Rb (0.250, 0.750, 0.500)
Rb (0.750, 0.250, 0.500)
V (0.000, 0.000, 0.000)
Mo (0.500, 0.500, 0.000)
Cl (0.245, 0.245, 0.000)
Cl (0.249, 0.249, 0.498)
Cl (0.249, 0.751, 0.000)
Cl (0.751, 0.249, 0.000)
Cl (0.751, 0.751, 0.502)
Cl (0.755, 0.755, 0.000)

Values from the calculation:
Symmetry: No. 139
Energy relative to the elements, uncorrected: -0.995 eV/atom

---

6.
Compound: BaPbBr2
Source: the Alexandria database
Functional: GGA-PBE
Structure: optimized geometry

Cell: 3.866 3.866 12.142 Å, 90.00 90.00 90.00°
Fractional coordinates of all 4 atoms:
Ba (0.000, 0.000, 0.000)
Pb (0.000, 0.000, 0.500)
Br (0.500, 0.500, 0.153)
Br (0.500, 0.500, 0.847)

Values from the calculation:
Symmetry: No. 123
Energy relative to the elements, uncorrected: -1.146 eV/atom